Entry from Alexandria via LeMat-Bulk: crystalline La2Ce3Sn4 at its relaxed geometry (PBE).

Summary:
For the calculated formation energy, the calculation gives -587 kJ/mol of formula units. The total magnetization is 0.30 μB/atom.

The structure in POSCAR format:
```
La2Ce3Sn4
1.0
8.3357 -0.2129 0.0000
-2.9453 8.0514 0.0000
0.0000 0.0000 8.5357
Ce Sn La
6 8 4
Direct
0.7731 0.7568 0.3339 Ce
0.7269 0.2432 0.8339 Ce
0.2731 0.7568 0.1661 Ce
0.2269 0.2432 0.6661 Ce
0.5000 0.5000 0.0000 Ce
0.0000 0.5000 0.5000 Ce
0.6699 0.9163 0.0374 Sn
0.8710 0.4931 0.1311 Sn
0.3710 0.4931 0.3689 Sn
0.6290 0.5069 0.6311 Sn
0.1290 0.5069 0.8689 Sn
0.3301 0.0837 0.9626 Sn
0.1699 0.9163 0.4626 Sn
0.8301 0.0837 0.5374 Sn
0.0628 0.1965 0.1815 La
0.5628 0.1965 0.3185 La
0.4372 0.8035 0.6815 La
0.9372 0.8035 0.8185 La
```

=====

Entry from Alexandria via LeMat-Bulk: crystalline LaCe2Sn at its relaxed geometry (PBE).

Summary:
For the calculated formation energy, the calculation gives -72 kJ/mol of formula units. The energy above the most stable polymorph in this dataset comes out at 233 meV/atom. The total magnetization is 0.68 μB/atom.

The structure in POSCAR format:
```
LaCe2Sn
1.0
-5.1251 1.1336 -1.5193
-3.5478 -4.0600 -0.8885
-4.1290 -0.8311 3.4814
Sn Ce La
1 2 1
Direct
0.5000 0.5000 0.5000 Sn
0.7500 0.7500 0.7500 Ce
0.2500 0.2500 0.2500 Ce
0.0000 0.0000 0.0000 La
```

=====

Entry from Alexandria via LeMat-Bulk: crystalline La3CeSn2 at its relaxed geometry (PBE).

Summary:
For the calculated formation energy, the calculation gives -192 kJ/mol of formula units. The energy above the most stable polymorph in this dataset comes out at 250 meV/atom. The total magnetization is 0.08 μB/atom.

The structure in POSCAR format:
```
La3CeSn2
1.0
5.3879 0.0000 0.0000
0.0000 3.3689 0.0000
0.0000 0.0000 9.4371
Ce La Sn
1 3 2
Direct
0.5000 0.5000 0.6633 Ce
0.5000 0.5000 0.3490 La
0.0000 0.5000 0.1617 La
0.0000 0.5000 0.8269 La
0.0000 0.0000 0.5029 Sn
0.5000 0.0000 0.9963 Sn
```

=====

Entry from Alexandria via LeMat-Bulk: crystalline LaCe2Sn2 at its relaxed geometry (PBE).

Summary:
For the calculated formation energy, the calculation gives -205 kJ/mol of formula units. The energy above the most stable polymorph in this dataset comes out at 86 meV/atom. The total magnetization is 0.39 μB/atom.

The structure in POSCAR format:
```
LaCe2Sn2
1.0
0.9105 -6.9750 -4.3300
7.6512 2.9583 -0.9669
-1.3546 -1.1059 5.9816
Sn Ce La
4 4 2
Direct
0.6176 0.8824 0.7500 Sn
0.8541 0.6459 0.2500 Sn
0.1459 0.3541 0.7500 Sn
0.3824 0.1176 0.2500 Sn
0.2345 0.9652 0.5999 Ce
0.4652 0.7345 0.0999 Ce
0.7655 0.0348 0.4001 Ce
0.5348 0.2655 0.9001 Ce
0.1229 0.3771 0.2500 La
0.8771 0.6229 0.7500 La
```